The following is a PBE calculation of a relaxed structure of Pa4TlSe8, from Alexandria.

Output
density of states at the Fermi level: 7.3 states/eV/f.u.
energy relative to the elements, uncorrected: -1.17 eV/atom
volume: 917.30 Å³ per cell

Unit cell a=7.8762 b=7.8762 c=17.0746 alpha=90.00 beta=90.00 gamma=120.00
Closest atoms and distances in Å follow each position.
Space group P6_3/mmc (No. 194)
Asymmetric unit:
Pa 0.0000 0.0000 0.2500 [2 per cell]  6 Se 2.88
Pa 0.0033 0.5016 0.2500 [6 per cell]  6 Se 2.86-2.88
Tl 0.0000 0.0000 0.0000 [2 per cell]  6 Se 3.39
Se 0.1669 0.3339 0.6469 [12 per cell]  3 Pa 2.88
Se 0.3333 0.6667 0.1464 [4 per cell]  3 Pa 2.86



The following is a PBE calculation of a relaxed structure of AlNiPt3, from Alexandria.

Output
density of states at the Fermi level: 5.3 states/eV/f.u.
volume: 92.51 Å³ per cell
calculated formation energy: 639 meV/atom

Unit cell a=4.5226 b=4.5226 c=4.5226 alpha=90.00 beta=90.00 gamma=90.00
Closest atoms and distances in Å follow each position.
Space group Pm-3m (No. 221)
Asymmetric unit:
Al 0.0000 0.0000 0.0000 [1 per cell]  6 Pt 2.26
Ni 0.5000 0.5000 0.5000 [1 per cell]  12 Pt 3.20
Pt 0.0000 0.0000 0.5000 [3 per cell]  2 Al 2.26



The following is a PBE calculation of a relaxed structure of YTe2, from Alexandria.

Output
density of states at the Fermi level: 3.8 states/eV/f.u.
energy relative to the elements, uncorrected: 0.03 eV/atom
volume: 730.10 Å³ per cell

Unit cell a=9.0045 b=9.0045 c=9.0045 alpha=90.00 beta=90.00 gamma=90.00
Closest atoms and distances in Å follow each position.
Space group Fd-3m (No. 227, origin choice 2)
Asymmetric unit:
Y 0.1250 0.1250 0.1250 [8 per cell]  12 Te 3.73, 4 Y 3.90
Te 0.0000 0.0000 0.5000 [16 per cell]  6 Te 3.18



Question: Which of these has the lowest density of states at the Fermi level?
Answer: YTe2



Question: Look up the density of states at the Fermi level of the second one.
Answer: 5.3 states/eV/f.u.



Question: Among the records above, which one has the lowest density of states at the Fermi level?
Answer: YTe2



Copy entry 1 word for word.
The following is a PBE calculation of a relaxed structure of Pa4TlSe8, from Alexandria.

Output
density of states at the Fermi level: 7.3 states/eV/f.u.
energy relative to the elements, uncorrected: -1.17 eV/atom
volume: 917.30 Å³ per cell

Unit cell a=7.8762 b=7.8762 c=17.0746 alpha=90.00 beta=90.00 gamma=120.00
Closest atoms and distances in Å follow each position.
Space group P6_3/mmc (No. 194)
Asymmetric unit:
Pa 0.0000 0.0000 0.2500 [2 per cell]  6 Se 2.88
Pa 0.0033 0.5016 0.2500 [6 per cell]  6 Se 2.86-2.88
Tl 0.0000 0.0000 0.0000 [2 per cell]  6 Se 3.39
Se 0.1669 0.3339 0.6469 [12 per cell]  3 Pa 2.88
Se 0.3333 0.6667 0.1464 [4 per cell]  3 Pa 2.86